Here is crystalline HoGe2 at its relaxed geometry from OQMD. Energies are from PBE-GGA.

```
HoGe2
1.0
0.000 6.574 6.574
6.574 0.000 6.574
6.574 6.574 0.000
Ho Ge
2 4
Cartesian
1.643 1.643 1.643 Ho
11.504 11.504 11.504 Ho
0.000 0.000 0.000 Ge
3.287 3.287 0.000 Ge
3.287 0.000 3.287 Ge
0.000 3.287 3.287 Ge
```

Results
Its raw total energy is -19.297 eV for the cell shown.